Here is a relaxed TbCo4Sb12 crystal from Alexandria via LeMat-Bulk. Energies are from PBE-GGA.

Results
spin magnetization: 0.00 μB per formula unit
D(E_F): 0.5310 states/eV per atom
uncorrected formation energy: -0.226 eV/atom

The structure in CIF format:
```
data_TbCo4Sb12
_cell_length_a 9.1995
_cell_length_b 9.1995
_cell_length_c 9.1995
_cell_angle_alpha 90.00
_cell_angle_beta 90.00
_cell_angle_gamma 90.00
_space_group_name_H-M_alt 'I m -3'
_space_group_IT_number 204
_space_group_name_Hall '-I 2 2 3'
loop_
_atom_site_label
_atom_site_fract_x
_atom_site_fract_y
_atom_site_fract_z
_atom_site_occupancy
Tb1 0.0000 0.0000 0.0000 1
Co1 0.2500 0.2500 0.2500 1
Sb1 0.0000 0.1604 0.3315 1
```

=====

Here is a relaxed Co2TcSb crystal from Alexandria via LeMat-Bulk. Energies are from PBE-GGA.

Results
spin magnetization: 2.71 μB per formula unit
D(E_F): 1.7591 states/eV per atom
uncorrected formation energy: 0.628 eV/atom

The structure in CIF format:
```
data_Co2TcSb
_cell_length_a 3.8790
_cell_length_b 3.8790
_cell_length_c 16.8906
_cell_angle_alpha 90.00
_cell_angle_beta 90.00
_cell_angle_gamma 90.00
_space_group_name_H-M_alt 'I -4 2 d'
_space_group_IT_number 122
_space_group_name_Hall 'I -4 2bw'
loop_
_atom_site_label
_atom_site_fract_x
_atom_site_fract_y
_atom_site_fract_z
_atom_site_occupancy
Co1 0.2168 0.2500 0.1250 1
Tc1 0.0000 0.0000 0.0000 1
Sb1 0.0000 0.0000 0.5000 1
```

=====

Here is a relaxed Co2TcSb crystal from Alexandria via LeMat-Bulk. Energies are from PBE-GGA.

Results
spin magnetization: 3.12 μB per formula unit
D(E_F): 1.5059 states/eV per atom
uncorrected formation energy: 0.297 eV/atom

The structure in CIF format:
```
data_Co2TcSb
_cell_length_a 3.1678
_cell_length_b 3.1678
_cell_length_c 5.6906
_cell_angle_alpha 90.00
_cell_angle_beta 90.00
_cell_angle_gamma 90.00
_space_group_name_H-M_alt 'P 4 m m'
_space_group_IT_number 99
loop_
_space_group_symop_operation_xyz
'x,y,z'
'-y,x,z'
'-x,-y,z'
'y,-x,z'
'-x,y,z'
'y,x,z'
'x,-y,z'
'-y,-x,z'
loop_
_atom_site_label
_atom_site_fract_x
_atom_site_fract_y
_atom_site_fract_z
_atom_site_occupancy
Co1 0.0000 0.0000 0.0000 1
Co2 0.5000 0.5000 0.2099 1
Tc1 0.5000 0.5000 0.7503 1
Sb1 0.0000 0.0000 0.4682 1
```

=====

Here is a relaxed Co2TcSb crystal from Alexandria via LeMat-Bulk. Energies are from PBE-GGA.

Results
spin magnetization: 0.37 μB per formula unit
D(E_F): 1.1855 states/eV per atom
uncorrected formation energy: 0.205 eV/atom

The structure in CIF format:
```
data_Co2TcSb
_cell_length_a 3.8559
_cell_length_b 3.8559
_cell_length_c 7.4115
_cell_angle_alpha 90.00
_cell_angle_beta 90.00
_cell_angle_gamma 90.00
_space_group_name_H-M_alt 'I 4/m m m'
_space_group_IT_number 139
_space_group_name_Hall '-I 4 2'
loop_
_atom_site_label
_atom_site_fract_x
_atom_site_fract_y
_atom_site_fract_z
_atom_site_occupancy
Co1 0.0000 0.5000 0.2500 1
Tc1 0.0000 0.0000 0.0000 1
Sb1 0.0000 0.0000 0.5000 1
```

=====

Here is a relaxed Co2Tc4Sb crystal from Alexandria via LeMat-Bulk. Energies are from PBE-GGA.

Results
spin magnetization: 4.98 μB per formula unit
D(E_F): 1.5806 states/eV per atom
uncorrected formation energy: 1.753 eV/atom

The structure in CIF format:
```
data_Co2Tc4Sb
_cell_length_a 4.8011
_cell_length_b 4.8011
_cell_length_c 11.8611
_cell_angle_alpha 90.00
_cell_angle_beta 90.00
_cell_angle_gamma 90.00
_space_group_name_H-M_alt 'I 4/m m m'
_space_group_IT_number 139
_space_group_name_Hall '-I 4 2'
loop_
_atom_site_label
_atom_site_fract_x
_atom_site_fract_y
_atom_site_fract_z
_atom_site_occupancy
Co1 0.0000 0.0000 0.0994 1
Tc1 0.0000 0.0000 0.2817 1
Tc2 0.0000 0.5000 0.0000 1
Sb1 0.0000 0.0000 0.5000 1
```

=====

Here is a relaxed CoTc2Sb crystal from Alexandria via LeMat-Bulk. Energies are from PBE-GGA.

Results
spin magnetization: 1.14 μB per formula unit
D(E_F): 1.1074 states/eV per atom
uncorrected formation energy: 0.352 eV/atom

The structure in CIF format:
```
data_CoTc2Sb
_cell_length_a 2.8956
_cell_length_b 3.8640
_cell_length_c 5.6223
_cell_angle_alpha 90.00
_cell_angle_beta 96.88
_cell_angle_gamma 90.00
_space_group_name_H-M_alt 'P 1 2/m 1'
_space_group_IT_number 10
loop_
_space_group_symop_operation_xyz
'x,y,z'
'-x,-y,-z'
'-x,y,-z'
'x,-y,z'
loop_
_atom_site_label
_atom_site_fract_x
_atom_site_fract_y
_atom_site_fract_z
_atom_site_occupancy
Co1 0.0000 0.0000 0.0000 1
Tc1 0.4353 0.5000 0.7875 1
Sb1 0.0000 0.0000 0.5000 1
```